Record 1
This record from Alexandria describes Fe2W after structural relaxation. The functional is GGA-PBE.

Calculated total energy   -8.716 eV/atom
Formation energy   1.244 eV per atom
DOS(E_F)   15.9 states/eV per cell

abc: 5.693 5.693 5.693
angles: 90.00 90.00 90.00
Space group Pa-3 (No. 205)
Inequivalent atoms, fractional coordinates:
Fe 0.117 0.117 0.117
W 0.000 0.000 0.500

***

Record 2
This record from Alexandria describes ZnGa2Pb after structural relaxation. The functional is GGA-PBE.

Calculated total energy   -2.617 eV/atom
Formation energy   0.142 eV per atom
DOS(E_F)   4.6 states/eV per cell

abc: 3.8138 3.8138 22.0375
angles: 90.00 90.00 120.00
Space group R3m (No. 160, hexagonal axes)
Inequivalent atoms, fractional coordinates:
Zn 0.0000 0.0000 0.0000
Ga 0.0000 0.0000 0.3970
Ga 0.0000 0.0000 0.6007
Pb 0.0000 0.0000 0.1617

***

| no. | magnetic moment (μB/cell) |
| --- | --- |
| 1 | 9.1 |
| 2 | 0.0 |